Record 1
{"formula": "AcHo2Ge2Pd7", "functional": "PBE", "state": "relaxed", "cell": [[2.950, -2.913, 0.000], [2.950, 2.913, 0.000], [-2.321, 0.000, 13.795]], "species": ["Ac", "Ho", "Ho", "Ge", "Ge", "Pd", "Pd", "Pd", "Pd", "Pd", "Pd", "Pd"], "fractional_positions": [[0.000, 0.000, 0.000], [0.131, 0.131, 0.353], [0.869, 0.869, 0.647], [0.395, 0.395, 0.732], [0.605, 0.605, 0.268], [0.066, 0.566, 0.168], [0.325, 0.325, 0.554], [0.434, 0.934, 0.832], [0.500, 0.500, 0.000], [0.566, 0.066, 0.168], [0.675, 0.675, 0.446], [0.934, 0.434, 0.832]], "formation_energy_ev_per_atom": -0.7307, "dos_at_fermi_per_ev_atom": 0.546, "spacegroup": "C2/m"}

***

Record 2
{"formula": "Ac2HoGe3Pd4", "functional": "PBE", "state": "relaxed", "cell": [[4.421, 0.000, 0.000], [0.000, 4.421, 0.000], [0.000, 0.000, 11.252]], "species": ["Ac", "Ac", "Ho", "Ge", "Ge", "Ge", "Pd", "Pd", "Pd", "Pd"], "fractional_positions": [[0.000, 0.500, 0.229], [0.500, 0.000, 0.771], [0.000, 0.000, 0.500], [0.000, 0.500, 0.882], [0.500, 0.000, 0.118], [0.500, 0.500, 0.500], [0.000, 0.000, 0.000], [0.000, 0.500, 0.654], [0.500, 0.000, 0.346], [0.500, 0.500, 0.000]], "formation_energy_ev_per_atom": -0.8555, "dos_at_fermi_per_ev_atom": 0.561, "spacegroup": "P-4m2"}

***

| no. | calculated volume (Å³ per cell) |
| --- | --- |
| 1 | 237.1 |
| 2 | 219.9 |